Record 1
Material: Th2ZrP3Rh12
Method: DFT, PBE
State: optimized geometry

abc: 6.992 6.992 6.992
angles: 75.68 75.68 75.68
Positions (direct):
P1 0.000 0.500 0.000
P2 0.000 0.000 0.500
P3 0.500 0.000 0.000
Rh1 0.328 0.328 0.907
Rh2 0.672 0.093 0.672
Rh3 0.672 0.672 0.093
Rh4 0.907 0.328 0.328
Rh5 0.093 0.672 0.672
Rh6 0.839 0.372 0.839
Rh7 0.328 0.907 0.328
Rh8 0.161 0.628 0.161
Rh9 0.161 0.161 0.628
Rh10 0.372 0.839 0.839
Rh11 0.628 0.161 0.161
Rh12 0.839 0.839 0.372
Th1 0.609 0.609 0.609
Th2 0.391 0.391 0.391
Zr1 0.000 0.000 0.000

Calculated values
* raw total energy: -135.690 eV/cell
* space group: R-3m (166)
* density: 9.94 g cm⁻³
* ΔE_f: -42 kJ per mole of atoms


Record 2
Material: YHo2Ga
Method: DFT, PBE
State: optimized geometry

abc: 4.734 4.707 4.707
angles: 90.00 90.00 90.00
Positions (direct):
Ga1 0.500 0.500 0.500
Y1 0.500 0.000 0.000
Ho1 0.000 0.500 0.000
Ho2 0.000 0.000 0.500

Calculated values
* raw total energy: -19.599 eV/cell
* space group: P4/mmm (123)
* ΔE to the lowest computed polymorph: 44 meV per atom
* density: 7.73 g cm⁻³
* ΔE_f: -23 kJ per mole of atoms


Record 3
Material: LiPSe3
Method: DFT, PBE
State: optimized geometry

abc: 4.617 4.617 4.617
angles: 90.00 90.00 90.00
Positions (direct):
Se1 0.500 0.000 0.000
Se2 0.000 0.500 0.000
Se3 0.000 0.000 0.500
Li1 0.000 0.000 0.000
P1 0.500 0.500 0.500

Calculated values
* raw total energy: -14.625 eV/cell
* space group: Pm-3m (221)
* ΔE to the lowest computed polymorph: 990 meV per atom
* density: 4.64 g cm⁻³
* ΔE_f (raw): 631 meV/atom